# 1
# GdPuCoOs

An optimized crystal structure of GdPuCoOs (PBE, Alexandria via LeMat-Bulk).

Properties
The raw total energy comes out at -11.718 eV/atom. As for the crystal system: cubic. The energy of formation from the pure elements is -0.030 eV/atom.

Cell: 4.790 4.790 4.790 Å, 60.00 60.00 60.00°
Atoms (fractional coordinates):
Co (0.000, 0.000, 0.000)
Gd (0.250, 0.250, 0.250)
Os (0.500, 0.500, 0.500)
Pu (0.750, 0.750, 0.750)

***

# 2
# GdScCoOs

An optimized crystal structure of GdScCoOs (PBE, Alexandria via LeMat-Bulk).

Properties
The raw total energy comes out at -9.857 eV/atom. As for the crystal system: cubic. The energy of formation from the pure elements is -0.170 eV/atom.

Cell: 4.665 4.665 4.665 Å, 60.00 60.00 60.00°
Atoms (fractional coordinates):
Sc (0.500, 0.500, 0.500)
Co (0.250, 0.250, 0.250)
Gd (0.000, 0.000, 0.000)
Os (0.750, 0.750, 0.750)

***

# 3
# SmGdCoOs

An optimized crystal structure of SmGdCoOs (PBE, Alexandria via LeMat-Bulk).

Properties
The raw total energy comes out at -9.289 eV/atom. As for the crystal system: cubic. The energy of formation from the pure elements is -0.005 eV/atom.

Cell: 4.869 4.869 4.869 Å, 60.00 60.00 60.00°
Atoms (fractional coordinates):
Co (0.750, 0.750, 0.750)
Gd (0.000, 0.000, 0.000)
Os (0.250, 0.250, 0.250)
Sm (0.500, 0.500, 0.500)

***

# 4
# GdTaCoOs

An optimized crystal structure of GdTaCoOs (PBE, Alexandria via LeMat-Bulk).

Properties
The raw total energy comes out at -11.103 eV/atom. As for the crystal system: cubic. The energy of formation from the pure elements is -0.036 eV/atom.

Cell: 4.611 4.611 4.611 Å, 60.00 60.00 60.00°
Atoms (fractional coordinates):
Co (0.250, 0.250, 0.250)
Gd (0.500, 0.500, 0.500)
Os (0.750, 0.750, 0.750)
Ta (0.000, 0.000, 0.000)

***

# 5
# TbGdCoOs

An optimized crystal structure of TbGdCoOs (PBE, Alexandria via LeMat-Bulk).

Properties
The raw total energy comes out at -9.332 eV/atom. As for the crystal system: cubic. The energy of formation from the pure elements is -0.070 eV/atom.

Cell: 4.823 4.823 4.823 Å, 60.00 60.00 60.00°
Atoms (fractional coordinates):
Tb (0.000, 0.000, 0.000)
Gd (0.500, 0.500, 0.500)
Os (0.750, 0.750, 0.750)
Co (0.250, 0.250, 0.250)

***

# 6
# GdPaCo4

An optimized crystal structure of GdPaCo4 (PBE, Alexandria via LeMat-Bulk).

Properties
The raw total energy comes out at -8.892 eV/atom. As for the crystal system: cubic. The energy of formation from the pure elements is -0.225 eV/atom.

Cell: 4.996 4.996 4.996 Å, 60.00 60.00 60.00°
Atoms (fractional coordinates):
Gd (0.000, 0.000, 0.000)
Pa (0.250, 0.250, 0.250)
Co (0.625, 0.625, 0.125)
Co (0.625, 0.125, 0.625)
Co (0.625, 0.625, 0.625)
Co (0.125, 0.625, 0.625)

***

# 7
# GdPaCo2

An optimized crystal structure of GdPaCo2 (PBE, Alexandria via LeMat-Bulk).

Properties
The raw total energy comes out at -9.644 eV/atom. As for the crystal system: trigonal. The energy of formation from the pure elements is -0.197 eV/atom.

Cell: 3.726 3.726 6.967 Å, 74.49 74.49 60.00°
Atoms (fractional coordinates):
Gd (0.500, 0.500, 0.500)
Pa (0.000, 0.000, 0.000)
Co (0.741, 0.741, 0.778)
Co (0.259, 0.259, 0.222)

***

# 8
# GdPaCo2

An optimized crystal structure of GdPaCo2 (PBE, Alexandria via LeMat-Bulk).

Properties
The raw total energy comes out at -9.527 eV/atom. As for the crystal system: cubic. The energy of formation from the pure elements is -0.080 eV/atom.

Cell: 4.716 4.716 4.716 Å, 60.00 60.00 60.00°
Atoms (fractional coordinates):
Gd (0.000, 0.000, 0.000)
Pa (0.500, 0.500, 0.500)
Co (0.250, 0.250, 0.250)
Co (0.750, 0.750, 0.750)

***

- What is the formula in the second record?
  GdScCoOs

***

- Which of these has the highest raw total energy?
  GdPaCo4

***

- What is the formula in the fifth record?
  TbGdCoOs